# 1
Below is CaAc7Nd3 after structural relaxation, with properties calculated at the PBE-GGA level.

Unit cell a=8.388 b=8.388 c=7.030 alpha=94.36 beta=94.36 gamma=83.81
Fractional positions:
Ca  0.000  0.000  0.000
Ac  0.000  0.000  0.500
Ac  0.079  0.422  0.755
Ac  0.268  0.268  0.280
Ac  0.422  0.079  0.755
Ac  0.578  0.921  0.245
Ac  0.732  0.732  0.720
Ac  0.921  0.578  0.245
Nd  0.337  0.663  0.500
Nd  0.500  0.500  0.000
Nd  0.663  0.337  0.500

Computed properties:
E_tot ... -3.86 eV/atom

=====

# 2
Below is CaAcNd4 after structural relaxation, with properties calculated at the PBE-GGA level.

Unit cell a=3.760 b=5.326 c=11.286 alpha=90.00 beta=90.07 gamma=90.00
Fractional positions:
Ca  0.000  0.000  0.000
Ac  0.500  0.500  0.500
Nd  0.001  0.000  0.669
Nd  0.499  0.500  0.173
Nd  0.501  0.500  0.827
Nd  0.999  0.000  0.331

Computed properties:
ΔE to the lowest computed polymorph ... 0.0000 eV/atom
E_tot ... -4.14 eV/atom

=====

# 3
Below is CaAcNd2 after structural relaxation, with properties calculated at the PBE-GGA level.

Unit cell a=3.835 b=3.835 c=10.576 alpha=90.00 beta=90.00 gamma=90.00
Fractional positions:
Ca  0.000  0.000  0.000
Ac  0.000  0.000  0.500
Nd  0.500  0.500  0.256
Nd  0.500  0.500  0.744

Computed properties:
ΔE to the lowest computed polymorph ... 0.0031 eV/atom
E_tot ... -3.86 eV/atom

=====

# 4
Below is CaAc2Nd after structural relaxation, with properties calculated at the PBE-GGA level.

Unit cell a=3.906 b=3.906 c=10.962 alpha=90.00 beta=90.00 gamma=90.00
Fractional positions:
Ca  0.000  0.000  0.000
Ac  0.500  0.500  0.263
Ac  0.500  0.500  0.737
Nd  0.000  0.000  0.500

Computed properties:
ΔE to the lowest computed polymorph ... 0.0007 eV/atom
E_tot ... -3.72 eV/atom

=====

# 5
Below is Ca2Ac8Nd after structural relaxation, with properties calculated at the PBE-GGA level.

Unit cell a=9.239 b=9.239 c=5.990 alpha=90.00 beta=90.00 gamma=105.34
Fractional positions:
Ca  0.117  0.883  0.000
Ca  0.883  0.117  0.000
Ac  0.174  0.174  0.500
Ac  0.200  0.465  0.000
Ac  0.250  0.750  0.500
Ac  0.465  0.200  0.000
Ac  0.535  0.800  0.000
Ac  0.750  0.250  0.500
Ac  0.800  0.535  0.000
Ac  0.826  0.826  0.500
Nd  0.500  0.500  0.500

Computed properties:
E_tot ... -3.63 eV/atom

=====

# 6
Below is CaAcNd2 after structural relaxation, with properties calculated at the PBE-GGA level.

Unit cell a=12.504 b=3.796 c=3.796 alpha=60.04 beta=90.00 gamma=90.00
Fractional positions:
Ca  0.000  0.000  0.000
Ac  0.500  0.332  0.332
Nd  0.251  0.665  0.665
Nd  0.749  0.665  0.665

Computed properties:
ΔE to the lowest computed polymorph ... 0.0133 eV/atom
E_tot ... -3.85 eV/atom

=====

The lowest E_tot belongs to which entry? CaAcNd4

=====

What is the E_tot in the sixth record? -3.85 eV/atom

=====

E_tot of number 6 (CaAcNd2)? -3.85 eV/atom